GdHg3S4Cl | GGA-PBE | optimized geometry

Properties
- mass density (g/cm³) = 6.9
- total DFT energy (no corrections) (eV for the cell shown) = -59.70

Lattice parameters (Å, degrees): 7.9070 7.9070 8.2033 90.00 90.00 120.00
Fractional coordinates of all 18 atoms:
Cl  0.3333  0.6667  0.5524
S  0.3333  0.6667  0.1284
Hg  0.5069  0.4931  0.7814
Hg  0.9862  0.4931  0.7814
Hg  0.4931  0.9862  0.2814
S  0.7142  0.8571  0.8518
S  0.2858  0.1429  0.3518
Gd  0.0000  0.0000  0.1069
Hg  0.4931  0.5069  0.2814
Hg  0.5069  0.0138  0.7814
S  0.8571  0.7142  0.3518
S  0.6667  0.3333  0.6284
S  0.8571  0.1429  0.3518
Gd  0.0000  0.0000  0.6069
Cl  0.6667  0.3333  0.0524
S  0.1429  0.8571  0.8518
Hg  0.0138  0.5069  0.2814
S  0.1429  0.2858  0.8518